DFT (PBE-GGA) results for Ce4SmO10 after structural relaxation.

Properties
N(E_F) (states/eV/f.u.): 19.375
M_tot (μB per atom): 0.044
Space group: I4/m (87)
E_form (uncorrected) (eV/atom): -3.293
Crystal system: tetragonal
DFT total energy (eV/atom): -8.496

a b c (Å): 6.7161 6.7161 6.7161
angles (deg): 99.57 99.57 131.89
Closest atoms and distances in Å follow each position.
Fractional positions:
Ce 0.1005 0.2997 0.4001  8 O 2.36-2.38
Ce 0.2997 0.8995 0.1992  8 O 2.36-2.38
Ce 0.7003 0.1005 0.8008  8 O 2.36-2.38
Ce 0.8995 0.7003 0.5999  8 O 2.36-2.38
Sm 0.5000 0.5000 0.0000  8 O 2.42
O 0.0418 0.1448 0.6950  3 Ce 2.36, 1 Sm 2.42
O 0.1448 0.4498 0.1030  3 Ce 2.36, 1 Sm 2.42
O 0.2500 0.7500 0.5000  4 Ce 2.38
O 0.3468 0.0418 0.8970  3 Ce 2.36, 1 Sm 2.42
O 0.4498 0.3468 0.3050  3 Ce 2.36, 1 Sm 2.42
O 0.5502 0.6532 0.6950  3 Ce 2.36, 1 Sm 2.42
O 0.6532 0.9582 0.1030  3 Ce 2.36, 1 Sm 2.42
O 0.7500 0.2500 0.5000  4 Ce 2.38
O 0.8552 0.5502 0.8970  3 Ce 2.36, 1 Sm 2.42
O 0.9582 0.8552 0.3050  3 Ce 2.36, 1 Sm 2.42